No. 1
This record from the Alexandria database describes crystalline RbBiSb2 at its relaxed geometry. The functional is PBE-GGA.

Lattice parameters (Å, degrees): 5.369 5.369 7.091 67.76 67.76 60.00
Positions (direct):
1 Bi 0.500 0.500 0.500
2 Rb 0.000 0.000 0.000
3 Sb 0.204 0.204 0.388
4 Sb 0.796 0.796 0.612

Output
**Energy relative to the elements, uncorrected**: -24.0 kJ/mol of formula units
**DOS(E_F)**: 0.60 states/eV per atom



No. 2
This record from the Alexandria database describes crystalline TaCu2S at its relaxed geometry. The functional is PBE-GGA.

Lattice parameters (Å, degrees): 7.020 7.020 5.514 50.46 50.46 90.00
Positions (direct):
1 Cu 0.375 0.411 0.750
2 Cu 0.161 0.625 0.250
3 Cu 0.875 0.839 0.750
4 Cu 0.589 0.125 0.250
5 Ta 0.750 0.250 0.500
6 Ta 0.000 0.000 0.000
7 S 0.250 0.750 0.500
8 S 0.500 0.500 0.000

Output
**Energy relative to the elements, uncorrected**: 34.9 kJ/mol of formula units
**DOS(E_F)**: 0.68 states/eV per atom



No. 3
This record from the Alexandria database describes crystalline TmTiC2 at its relaxed geometry. The functional is PBE-GGA.

Lattice parameters (Å, degrees): 3.267 3.267 5.756 73.51 73.51 60.00
Positions (direct):
1 C 0.261 0.261 0.217
2 C 0.739 0.739 0.783
3 Ti 0.000 0.000 0.000
4 Tm 0.500 0.500 0.500

Output
**DOS(E_F)**: 0.56 states/eV per atom
**Energy relative to the elements**: -0.36 eV/atom



No. 4
This record from the Alexandria database describes crystalline Pr4YZn at its relaxed geometry. The functional is PBE-GGA.

Lattice parameters (Å, degrees): 3.699 3.699 14.094 90.00 90.00 90.00
Positions (direct):
1 Pr 0.500 0.500 0.820
2 Pr 0.000 0.000 0.632
3 Pr 0.500 0.500 0.180
4 Pr 0.000 0.000 0.368
5 Y 0.000 0.000 0.000
6 Zn 0.500 0.500 0.500

Output
**DOS(E_F)**: 1.18 states/eV per atom
**Energy relative to the elements**: -0.09 eV/atom



No. 5
This record from the Alexandria database describes crystalline Mg2CrAu at its relaxed geometry. The functional is PBE-GGA.

Lattice parameters (Å, degrees): 3.426 3.426 6.233 90.00 90.00 90.00
Positions (direct):
1 Mg 0.000 0.000 0.008
2 Mg 0.000 0.000 0.492
3 Au 0.500 0.500 0.250
4 Cr 0.500 0.500 0.750

Output
**DOS(E_F)**: 0.55 states/eV per atom
**Energy relative to the elements**: -0.04 eV/atom



No. 6
This record from the Alexandria database describes crystalline Nd2Sm2Dy15 at its relaxed geometry. The functional is PBE-GGA.

Lattice parameters (Å, degrees): 8.742 8.742 8.742 79.80 79.80 79.80
Positions (direct):
1 Dy 0.150 0.630 0.630
2 Dy 0.000 0.299 0.701
3 Dy 0.370 0.370 0.850
4 Dy 0.000 0.500 0.000
5 Dy 0.850 0.370 0.370
6 Dy 0.630 0.630 0.150
7 Dy 0.299 0.000 0.701
8 Dy 0.000 0.000 0.500
9 Dy 0.299 0.701 0.000
10 Dy 0.701 0.000 0.299
11 Dy 0.000 0.701 0.299
12 Dy 0.630 0.150 0.630
13 Dy 0.370 0.850 0.370
14 Dy 0.500 0.000 0.000
15 Dy 0.701 0.299 0.000
16 Nd 0.327 0.327 0.327
17 Nd 0.673 0.673 0.673
18 Sm 0.094 0.094 0.094
19 Sm 0.906 0.906 0.906

Output
**DOS(E_F)**: 1.88 states/eV per atom
**Energy relative to the elements**: 0.28 eV/atom



No. 7
This record from the Alexandria database describes crystalline TmH2W at its relaxed geometry. The functional is PBE-GGA.

Lattice parameters (Å, degrees): 3.335 3.335 5.415 72.06 72.06 60.00
Positions (direct):
1 W 0.000 0.000 0.000
2 H 0.118 0.118 0.646
3 H 0.882 0.882 0.354
4 Tm 0.500 0.500 0.500

Output
**DOS(E_F)**: 0.78 states/eV per atom
**Total DFT energy (no corrections)**: -5.97 eV per atom



No. 8
This record from the Alexandria database describes crystalline CuMo3C at its relaxed geometry. The functional is PBE-GGA.

Lattice parameters (Å, degrees): 4.116 4.116 4.116 90.00 90.00 90.00
Positions (direct):
1 Mo 0.000 0.000 0.500
2 Mo 0.500 0.000 0.000
3 Mo 0.000 0.500 0.000
4 C 0.000 0.000 0.000
5 Cu 0.500 0.500 0.500

Output
**ΔE to the lowest computed polymorph**: 0.00 eV/f.u.
**DOS(E_F)**: 0.97 states/eV per atom
**Energy relative to the elements**: 0.28 eV/atom



No. 9
This record from the Alexandria database describes crystalline HoTlSiSe4 at its relaxed geometry. The functional is PBE-GGA.

Lattice parameters (Å, degrees): 6.664 6.916 9.007 90.00 107.55 90.00
Positions (direct):
1 Se 0.006 0.994 0.712
2 Se 0.994 0.494 0.288
3 Se 0.572 0.250 0.419
4 Se 0.578 0.250 0.838
5 Se 0.006 0.506 0.712
6 Se 0.428 0.750 0.581
7 Se 0.422 0.750 0.162
8 Se 0.994 0.006 0.288
9 Tl 0.757 0.750 0.937
10 Tl 0.243 0.250 0.063
11 Ho 0.231 0.250 0.553
12 Ho 0.769 0.750 0.447
13 Si 0.224 0.750 0.327
14 Si 0.776 0.250 0.673

Output
**Energy relative to the elements, uncorrected**: -660.1 kJ/mol of formula units
**DOS(E_F)**: 0.00 states/eV per atom



No. 10
This record from the Alexandria database describes crystalline LiLuTiRh at its relaxed geometry. The functional is PBE-GGA.

Lattice parameters (Å, degrees): 4.619 4.619 4.619 60.00 60.00 60.00
Positions (direct):
1 Lu 0.500 0.500 0.500
2 Li 0.250 0.250 0.250
3 Rh 0.750 0.750 0.750
4 Ti 0.000 0.000 0.000

Output
**DOS(E_F)**: 0.86 states/eV per atom
**Energy relative to the elements**: -0.36 eV/atom



No. 11
This record from the Alexandria database describes crystalline CeSm6Tm4 at its relaxed geometry. The functional is PBE-GGA.

Lattice parameters (Å, degrees): 5.767 5.607 25.813 90.00 90.00 120.95
Positions (direct):
1 Tm 0.154 0.309 0.457
2 Tm 0.846 0.691 0.957
3 Tm 0.536 0.073 0.623
4 Tm 0.536 0.073 0.877
5 Tm 0.464 0.927 0.377
6 Tm 0.154 0.309 0.043
7 Tm 0.464 0.927 0.123
8 Tm 0.846 0.691 0.543
9 Sm 0.537 0.073 0.750
10 Sm 0.869 0.738 0.820
11 Sm 0.805 0.610 0.100
12 Sm 0.131 0.262 0.180
13 Sm 0.869 0.738 0.680
14 Sm 0.195 0.390 0.900
15 Sm 0.500 0.000 0.500
16 Sm 0.805 0.610 0.400
17 Sm 0.463 0.927 0.250
18 Sm 0.131 0.262 0.320
19 Sm 0.500 0.000 0.000
20 Sm 0.195 0.390 0.600
21 Ce 0.200 0.400 0.750
22 Ce 0.800 0.600 0.250

Output
**DOS(E_F)**: 2.05 states/eV per atom
**Energy relative to the elements**: 0.14 eV/atom



No. 12
This record from the Alexandria database describes crystalline KErMg2Br8 at its relaxed geometry. The functional is PBE-GGA.

Lattice parameters (Å, degrees): 6.810 6.518 8.529 89.65 89.71 88.58
Positions (direct):
1 Mg 0.498 0.499 0.740
2 Mg 0.502 0.501 0.260
3 Br 0.669 0.731 0.001
4 Br 0.820 0.252 0.778
5 Br 0.331 0.269 0.999
6 Br 0.636 0.717 0.500
7 Br 0.181 0.750 0.778
8 Br 0.180 0.748 0.222
9 Br 0.364 0.283 0.500
10 Br 0.819 0.250 0.222
11 K 0.000 0.000 0.500
12 Er 0.000 0.000 0.000

Output
**Energy relative to the elements, uncorrected**: -1812.7 kJ/mol of formula units
**DOS(E_F)**: 0.00 states/eV per atom



No. 13
This record from the Alexandria database describes crystalline HoErOs4 at its relaxed geometry. The functional is PBE-GGA.

Lattice parameters (Å, degrees): 5.340 5.340 5.340 60.00 60.00 60.00
Positions (direct):
1 Ho 0.250 0.250 0.250
2 Os 0.625 0.625 0.125
3 Os 0.625 0.625 0.625
4 Os 0.625 0.125 0.625
5 Os 0.125 0.625 0.625
6 Er 0.000 0.000 0.000

Output
**DOS(E_F)**: 0.96 states/eV per atom
**Energy relative to the elements**: -0.30 eV/atom



No. 14
This record from the Alexandria database describes crystalline ScTl3Bi3S8 at its relaxed geometry. The functional is PBE-GGA.

Lattice parameters (Å, degrees): 8.095 8.091 8.647 117.77 90.01 120.06
Positions (direct):
1 Sc 0.000 0.000 0.500
2 S 0.224 0.447 0.703
3 S 0.777 0.021 0.297
4 S 0.756 0.979 0.703
5 S 0.223 0.979 0.703
6 S 0.260 0.520 0.279
7 S 0.244 0.021 0.297
8 S 0.740 0.480 0.721
9 S 0.776 0.553 0.297
10 Bi 0.000 0.500 0.500
11 Bi 0.500 0.000 0.500
12 Bi 0.500 0.500 0.500
13 Tl 0.500 0.500 0.000
14 Tl 0.000 0.500 0.000
15 Tl 0.000 0.000 0.000

Output
**Energy relative to the elements, uncorrected**: -884.5 kJ/mol of formula units
**DOS(E_F)**: 0.42 states/eV per atom